# 1
! MgMn (PBEsol, optimized geometry); values from VASP
! E_form: 1.75 eV per atom
! Crystal system: cubic
! SG: F-43m (216)
&SYSTEM
  ibrav = 0, nat = 2, ntyp = 2
/
ATOMIC_SPECIES
Mg 24.30 Mg.upf
Mn 54.94 Mn.upf
CELL_PARAMETERS angstrom
4.4144 0.0000 0.0000
2.2072 3.8230 0.0000
2.2072 1.2743 3.6044
ATOMIC_POSITIONS crystal
Mg 0.0000 0.0000 0.0000
Mn 0.2500 0.2500 0.2500

=====

# 2
! MgMn3 (PBEsol, optimized geometry); values from VASP
! E_form: 0.34 eV per atom
! Crystal system: tetragonal
! SG: P4/mmm (123)
&SYSTEM
  ibrav = 0, nat = 4, ntyp = 2
/
ATOMIC_SPECIES
Mg 24.30 Mg.upf
Mn 54.94 Mn.upf
CELL_PARAMETERS angstrom
-1.8719 -1.7847 -1.2071
-1.0293 -0.6641 2.5781
-4.0773 4.5796 -0.4481
ATOMIC_POSITIONS crystal
Mg 0.0000 0.0000 0.0000
Mn 0.5000 0.5000 0.7083
Mn 0.0000 0.0000 0.5000
Mn 0.5000 0.5000 0.2917

=====

# 3
! Mg2Mn (PBEsol, optimized geometry); values from VASP
! E_form: 0.40 eV per atom
! Crystal system: hexagonal
! SG: P6/mmm (191)
&SYSTEM
  ibrav = 0, nat = 3, ntyp = 2
/
ATOMIC_SPECIES
Mg 24.30 Mg.upf
Mn 54.94 Mn.upf
CELL_PARAMETERS angstrom
-0.0675 -2.1162 -1.9156
4.7060 -0.3072 0.1736
-2.6429 -2.5772 2.9401
ATOMIC_POSITIONS crystal
Mg 0.0000 0.3333 0.6667
Mg 0.0000 0.6667 0.3333
Mn 0.5000 0.0000 0.0000

=====

# 4
! MgMn4 (PBEsol, optimized geometry); values from VASP
! E_form: 0.30 eV per atom
! Crystal system: tetragonal
! SG: I4/mmm (139)
&SYSTEM
  ibrav = 0, nat = 5, ntyp = 2
/
ATOMIC_SPECIES
Mg 24.30 Mg.upf
Mn 54.94 Mn.upf
CELL_PARAMETERS angstrom
-0.0320 2.6064 -2.7901
1.2160 -2.6379 -2.4782
-4.8053 -1.0429 1.6935
ATOMIC_POSITIONS crystal
Mg 0.0000 0.0000 0.0000
Mn 0.7500 0.2500 0.5000
Mn 0.2500 0.7500 0.5000
Mn 0.6209 0.6209 0.2417
Mn 0.3791 0.3791 0.7583

=====

# 5
! Mg3Mn2 (PBEsol, optimized geometry); values from VASP
! E_form: 0.50 eV per atom
! Crystal system: trigonal
! SG: P-3m1 (164)
&SYSTEM
  ibrav = 0, nat = 5, ntyp = 2
/
ATOMIC_SPECIES
Mg 24.30 Mg.upf
Mn 54.94 Mn.upf
CELL_PARAMETERS angstrom
4.5064 0.0000 0.0000
-2.2532 3.9027 0.0000
0.0000 0.0000 5.5865
ATOMIC_POSITIONS crystal
Mg 0.0000 0.0000 0.0000
Mg 0.3333 0.6667 0.3535
Mg 0.6667 0.3333 0.6465
Mn 0.3333 0.6667 0.8772
Mn 0.6667 0.3333 0.1228

=====

# 6
! MgMn2Mo (PBEsol, optimized geometry); values from VASP
! E_form: 0.50 eV per atom
! Crystal system: monoclinic
! SG: C2/m (12)
&SYSTEM
  ibrav = 0, nat = 4, ntyp = 3
/
ATOMIC_SPECIES
Mg 24.30 Mg.upf
Mn 54.94 Mn.upf
Mo 95.94 Mo.upf
CELL_PARAMETERS angstrom
-2.2032 -1.1767 0.8292
1.4089 -2.2667 -3.6494
2.7619 -2.8867 3.2418
ATOMIC_POSITIONS crystal
Mg 0.5000 0.0000 0.0000
Mn 0.7524 0.5049 0.7228
Mn 0.2476 0.4951 0.2772
Mo 0.0000 0.0000 0.5000

=====

# 7
! Mg2MnMo (PBEsol, optimized geometry); values from VASP
! E_form: 0.51 eV per atom
! Crystal system: monoclinic
! Relative energy among the computed polymorphs: 98 meV per atom
! SG: C2/m (12)
&SYSTEM
  ibrav = 0, nat = 4, ntyp = 3
/
ATOMIC_SPECIES
Mg 24.30 Mg.upf
Mn 54.94 Mn.upf
Mo 95.94 Mo.upf
CELL_PARAMETERS angstrom
2.7367 0.0000 0.0000
0.0000 4.9398 -0.0154
-1.3684 -0.7217 4.7738
ATOMIC_POSITIONS crystal
Mg 0.2463 0.2504 0.4926
Mg 0.7537 0.7496 0.5074
Mn 0.5000 0.0000 0.0000
Mo 0.0000 0.5000 0.0000

=====

# 8
! MgMn2Mo (PBEsol, optimized geometry); values from VASP
! E_form: 0.44 eV per atom
! Crystal system: tetragonal
! SG: I-4m2 (119)
&SYSTEM
  ibrav = 0, nat = 4, ntyp = 3
/
ATOMIC_SPECIES
Mg 24.30 Mg.upf
Mn 54.94 Mn.upf
Mo 95.94 Mo.upf
CELL_PARAMETERS angstrom
-3.5444 -0.2801 -0.3712
0.4571 -1.5737 -3.1770
1.6450 -2.8639 3.6665
ATOMIC_POSITIONS crystal
Mg 0.2500 0.7500 0.5000
Mn 0.0000 0.0000 0.0000
Mn 0.7500 0.2500 0.5000
Mo 0.5000 0.5000 0.0000

=====

# 9
! MgMn4Mo (PBEsol, optimized geometry); values from VASP
! E_form: 0.10 eV per atom
! Crystal system: cubic
! SG: F-43m (216)
&SYSTEM
  ibrav = 0, nat = 6, ntyp = 3
/
ATOMIC_SPECIES
Mo 95.94 Mo.upf
Mn 54.94 Mn.upf
Mg 24.30 Mg.upf
CELL_PARAMETERS angstrom
4.6988 0.0000 0.0000
2.3494 4.0693 0.0000
2.3494 1.3564 3.8366
ATOMIC_POSITIONS crystal
Mo 0.7500 0.7500 0.7500
Mn 0.3747 0.3747 0.3747
Mn 0.3747 0.3747 0.8758
Mn 0.8758 0.3747 0.3747
Mn 0.3747 0.8758 0.3747
Mg 0.0000 0.0000 0.0000

=====

# 10
! Mg2MnMo (PBEsol, optimized geometry); values from VASP
! E_form: 0.44 eV per atom
! Crystal system: monoclinic
! Relative energy among the computed polymorphs: 33 meV per atom
! SG: Cm (8)
&SYSTEM
  ibrav = 0, nat = 4, ntyp = 3
/
ATOMIC_SPECIES
Mg 24.30 Mg.upf
Mn 54.94 Mn.upf
Mo 95.94 Mo.upf
CELL_PARAMETERS angstrom
2.7328 0.0000 0.0000
-1.3664 4.4499 0.0073
0.0000 -0.4806 5.3029
ATOMIC_POSITIONS crystal
Mg 0.0020 0.0040 0.0053
Mg 0.2451 0.4902 0.7495
Mn 0.5004 0.0008 0.4619
Mo 0.7525 0.5050 0.2833

=====

# 11
! Mg2MnMo (PBEsol, optimized geometry); values from VASP
! E_form: 0.41 eV per atom
! Crystal system: cubic
! Relative energy among the computed polymorphs: 0 meV per atom
! SG: F-43m (216)
&SYSTEM
  ibrav = 0, nat = 4, ntyp = 3
/
ATOMIC_SPECIES
Mg 24.30 Mg.upf
Mn 54.94 Mn.upf
Mo 95.94 Mo.upf
CELL_PARAMETERS angstrom
-3.4246 -0.2899 2.7659
0.4640 -2.0518 3.8777
-0.0143 2.3318 3.7449
ATOMIC_POSITIONS crystal
Mg 0.0000 0.0000 0.0000
Mg 0.2500 0.2500 0.2500
Mn 0.5000 0.5000 0.5000
Mo 0.7500 0.7500 0.7500

=====

# 12
! MgMn2MoPt (PBEsol, optimized geometry); values from VASP
! E_form: 1.36 eV per atom
! Crystal system: tetragonal
! SG: P4/mmm (123)
&SYSTEM
  ibrav = 0, nat = 5, ntyp = 4
/
ATOMIC_SPECIES
Mo 95.94 Mo.upf
Mn 54.94 Mn.upf
Mg 24.30 Mg.upf
Pt 195.08 Pt.upf
CELL_PARAMETERS angstrom
-3.8402 2.6050 1.0698
-2.7831 -3.2343 -2.1145
-0.4317 -2.3391 4.1461
ATOMIC_POSITIONS crystal
Mo 0.5000 0.5000 0.5000
Mn 0.0000 0.5000 0.0000
Mn 0.5000 0.0000 0.0000
Mg 0.0000 0.0000 0.5000
Pt 0.0000 0.0000 0.0000

=====

# 13
! Mg4MnN4 (PBEsol, optimized geometry); values from VASP
! Crystal system: triclinic
! SG: P-1 (2)
! Formation energy without anion corrections: -0.675 eV per atom
&SYSTEM
  ibrav = 0, nat = 18, ntyp = 3
/
ATOMIC_SPECIES
Mg 24.30 Mg.upf
Mn 54.94 Mn.upf
N 14.01 N.upf
CELL_PARAMETERS angstrom
-2.0278 -2.6246 -4.1511
-1.7179 -4.8291 1.4888
-7.6800 0.7752 2.4255
ATOMIC_POSITIONS crystal
Mg 0.2663 0.1728 0.2018
Mg 0.7337 0.8272 0.7982
Mg 0.2524 0.7530 0.9981
Mg 0.7476 0.2470 0.0019
Mg 0.2621 0.9463 0.5810
Mg 0.7379 0.0537 0.4190
Mg 0.7446 0.4698 0.5896
Mg 0.2554 0.5302 0.4104
Mn 0.2754 0.3928 0.7691
Mn 0.7246 0.6072 0.2309
N 0.0126 0.6908 0.6131
N 0.9874 0.3092 0.3869
N 0.1596 0.1875 0.9567
N 0.8404 0.8125 0.0433
N 0.4909 0.5884 0.8016
N 0.5091 0.4116 0.1984
N 0.5064 0.8025 0.3777
N 0.4936 0.1975 0.6223

=====

# 14
! Mg2MnN3 (PBEsol, optimized geometry); values from VASP
! Crystal system: orthorhombic
! SG: Cmc2_1 (36)
! Formation energy without anion corrections: -0.636 eV per atom
&SYSTEM
  ibrav = 0, nat = 12, ntyp = 3
/
ATOMIC_SPECIES
Mg 24.30 Mg.upf
Mn 54.94 Mn.upf
N 14.01 N.upf
CELL_PARAMETERS angstrom
4.5188 0.0000 0.0000
0.0000 5.8688 -0.0222
0.0000 2.8723 5.1179
ATOMIC_POSITIONS crystal
Mg 0.5603 0.0030 0.6686
Mg 0.5603 0.3314 0.9970
Mg 0.0603 0.9970 0.3314
Mg 0.0603 0.6686 0.0030
Mn 0.5275 0.6650 0.3350
Mn 0.0275 0.3350 0.6650
N 0.0764 0.0370 0.6679
N 0.0764 0.3321 0.9630
N 0.5764 0.9630 0.3321
N 0.5764 0.6679 0.0370
N 0.1273 0.6252 0.3748
N 0.6273 0.3748 0.6252

=====

# 15
! Mg3MnN (PBEsol, optimized geometry); values from VASP
! Crystal system: cubic
! SG: Pm-3m (221)
! Formation energy without anion corrections: 1.658 eV per atom
&SYSTEM
  ibrav = 0, nat = 5, ntyp = 3
/
ATOMIC_SPECIES
Mg 24.30 Mg.upf
Mn 54.94 Mn.upf
N 14.01 N.upf
CELL_PARAMETERS angstrom
5.0301 0.0000 0.0000
0.0000 5.0301 0.0000
0.0000 0.0000 5.0301
ATOMIC_POSITIONS crystal
Mg 0.0000 0.5000 0.0000
Mg 0.0000 0.0000 0.5000
Mg 0.5000 0.0000 0.0000
Mn 0.0000 0.0000 0.0000
N 0.5000 0.5000 0.5000

=====

# 16
! MgMnN2 (PBEsol, optimized geometry); values from VASP
! Crystal system: trigonal
! SG: R-3m (166)
! Formation energy without anion corrections: -0.681 eV per atom
&SYSTEM
  ibrav = 0, nat = 4, ntyp = 3
/
ATOMIC_SPECIES
Mg 24.30 Mg.upf
Mn 54.94 Mn.upf
N 14.01 N.upf
CELL_PARAMETERS angstrom
-1.3492 -0.3769 2.5644
-2.4600 -1.5707 0.1397
1.3462 -4.6765 1.6857
ATOMIC_POSITIONS crystal
Mg 0.0000 0.0000 0.0000
Mn 0.5000 0.5000 0.5000
N 0.2404 0.2404 0.2788
N 0.7596 0.7596 0.7212

=====

# 17
! MgMnSeN2 (PBEsol, optimized geometry); values from VASP
! Crystal system: tetragonal
! SG: P4/mmm (123)
! Formation energy without anion corrections: 0.040 eV per atom
&SYSTEM
  ibrav = 0, nat = 5, ntyp = 4
/
ATOMIC_SPECIES
Mg 24.30 Mg.upf
Mn 54.94 Mn.upf
Se 78.96 Se.upf
N 14.01 N.upf
CELL_PARAMETERS angstrom
-2.3071 -2.7684 -0.0087
0.1951 -0.1739 3.5942
-3.9781 3.3141 0.3763
ATOMIC_POSITIONS crystal
Mg 0.5000 0.5000 0.5000
Mn 0.0000 0.0000 0.0000
Se 0.0000 0.0000 0.5000
N 0.0000 0.5000 0.0000
N 0.5000 0.0000 0.0000

=====

# 18
! MgMnTcN2 (PBEsol, optimized geometry); values from VASP
! Crystal system: tetragonal
! SG: P4/mmm (123)
! Formation energy without anion corrections: 1.997 eV per atom
&SYSTEM
  ibrav = 0, nat = 5, ntyp = 4
/
ATOMIC_SPECIES
Mg 24.30 Mg.upf
Mn 54.94 Mn.upf
Tc 98.00 Tc.upf
N 14.01 N.upf
CELL_PARAMETERS angstrom
-3.8086 0.3496 -0.2943
-0.3925 -3.7678 0.6033
-0.2777 0.7464 4.4803
ATOMIC_POSITIONS crystal
Mg 0.0000 0.0000 0.0000
Mn 0.0000 0.0000 0.5000
Tc 0.5000 0.5000 0.5000
N 0.0000 0.5000 0.0000
N 0.5000 0.0000 0.0000

=====

# 19
! NaMg14MnO16 (PBEsol, optimized geometry); values from VASP
! Crystal system: orthorhombic
! SG: Pmmm (47)
! Formation energy without anion corrections: -2.583 eV per atom
&SYSTEM
  ibrav = 0, nat = 32, ntyp = 4
/
ATOMIC_SPECIES
Na 22.99 Na.upf
Mg 24.30 Mg.upf
Mn 54.94 Mn.upf
O 16.00 O.upf
CELL_PARAMETERS angstrom
4.2539 0.0000 0.0000
0.0000 8.4121 0.0000
0.0000 0.0000 8.4988
ATOMIC_POSITIONS crystal
Na 0.0000 0.5000 0.0000
Mg 0.0000 0.0000 0.5000
Mg 0.0000 0.5000 0.5000
Mg 0.5000 0.7445 0.0000
Mg 0.5000 0.2555 0.0000
Mg 0.5000 0.7480 0.5000
Mg 0.5000 0.2520 0.5000
Mg 0.5000 0.0000 0.7487
Mg 0.5000 0.5000 0.7528
Mg 0.5000 0.0000 0.2513
Mg 0.5000 0.5000 0.2472
Mg 0.0000 0.7462 0.7476
Mg 0.0000 0.2538 0.7476
Mg 0.0000 0.7462 0.2524
Mg 0.0000 0.2538 0.2524
Mn 0.0000 0.0000 0.0000
O 0.0000 0.0000 0.7521
O 0.0000 0.5000 0.7374
O 0.0000 0.0000 0.2479
O 0.0000 0.5000 0.2626
O 0.5000 0.7517 0.7513
O 0.5000 0.2483 0.7513
O 0.5000 0.7517 0.2487
O 0.5000 0.2483 0.2487
O 0.5000 0.0000 0.0000
O 0.5000 0.5000 0.0000
O 0.5000 0.0000 0.5000
O 0.5000 0.5000 0.5000
O 0.0000 0.7751 0.0000
O 0.0000 0.2249 0.0000
O 0.0000 0.7544 0.5000
O 0.0000 0.2456 0.5000

=====

# 20
! NaMg30MnO32 (PBEsol, optimized geometry); values from VASP
! Crystal system: tetragonal
! SG: P4/mmm (123)
! Formation energy without anion corrections: -2.661 eV per atom
&SYSTEM
  ibrav = 0, nat = 64, ntyp = 4
/
ATOMIC_SPECIES
Na 22.99 Na.upf
Mg 24.30 Mg.upf
Mn 54.94 Mn.upf
O 16.00 O.upf
CELL_PARAMETERS angstrom
-0.8741 8.2110 1.7137
-8.2738 -1.1273 1.1812
1.3908 -1.5721 8.2419
ATOMIC_POSITIONS crystal
Na 0.5000 0.5000 0.0000
Mg 0.0000 0.5000 0.0000
Mg 0.5000 0.0000 0.0000
Mg 0.0000 0.0000 0.5000
Mg 0.0000 0.5000 0.5000
Mg 0.5000 0.0000 0.5000
Mg 0.5000 0.5000 0.5000
Mg 0.2536 0.2536 0.0000
Mg 0.2536 0.7464 0.0000
Mg 0.7464 0.2536 0.0000
Mg 0.7464 0.7464 0.0000
Mg 0.2513 0.2513 0.5000
Mg 0.2513 0.7487 0.5000
Mg 0.7487 0.2513 0.5000
Mg 0.7487 0.7487 0.5000
Mg 0.0000 0.2501 0.2533
Mg 0.0000 0.7499 0.2533
Mg 0.5000 0.2519 0.2492
Mg 0.5000 0.7481 0.2492
Mg 0.0000 0.2501 0.7467
Mg 0.0000 0.7499 0.7467
Mg 0.5000 0.2519 0.7508
Mg 0.5000 0.7481 0.7508
Mg 0.2501 0.0000 0.2533
Mg 0.2519 0.5000 0.2492
Mg 0.7499 0.0000 0.2533
Mg 0.7481 0.5000 0.2492
Mg 0.2501 0.0000 0.7467
Mg 0.2519 0.5000 0.7508
Mg 0.7499 0.0000 0.7467
Mg 0.7481 0.5000 0.7508
Mn 0.0000 0.0000 0.0000
O 0.0000 0.0000 0.2575
O 0.0000 0.5000 0.2491
O 0.5000 0.0000 0.2491
O 0.5000 0.5000 0.2623
O 0.0000 0.0000 0.7425
O 0.0000 0.5000 0.7509
O 0.5000 0.0000 0.7509
O 0.5000 0.5000 0.7377
O 0.2492 0.2492 0.2489
O 0.2492 0.7508 0.2489
O 0.7508 0.2492 0.2489
O 0.7508 0.7508 0.2489
O 0.2492 0.2492 0.7511
O 0.2492 0.7508 0.7511
O 0.7508 0.2492 0.7511
O 0.7508 0.7508 0.7511
O 0.0000 0.2340 0.0000
O 0.0000 0.7660 0.0000
O 0.5000 0.2352 0.0000
O 0.5000 0.7648 0.0000
O 0.0000 0.2504 0.5000
O 0.0000 0.7496 0.5000
O 0.5000 0.2474 0.5000
O 0.5000 0.7526 0.5000
O 0.2340 0.0000 0.0000
O 0.2352 0.5000 0.0000
O 0.7660 0.0000 0.0000
O 0.7648 0.5000 0.0000
O 0.2504 0.0000 0.5000
O 0.2474 0.5000 0.5000
O 0.7496 0.0000 0.5000
O 0.7526 0.5000 0.5000

=====

Looking at magnetization for the records above, in order, we have 4.258, 0.864, 3.573, 1.069, 6.838, 5.155, 2.561, 3.145, 2.499, 1.957, 1.006, 12.364, 2.919, 1.977, 5.565, 2.951, 0.051, 2.797, 4.000, 4.000 μB per formula unit.